Entry 1:
{
  "formula": "Pu2Pa3N8",
  "functional": "GGA-PBE",
  "state": "relaxed",
  "lattice": [[6.040, 0.000, 0.656], [0.000, 6.847, 0.000], [-1.814, -3.424, 5.116]],
  "species": ["Pu", "Pu", "Pa", "Pa", "Pa", "N", "N", "N", "N", "N", "N", "N", "N"],
  "frac_coords": [[0.429, 0.303, 0.606], [0.571, 0.697, 0.394], [0.500, 0.000, 0.000], [0.000, 0.253, 0.000], [0.000, 0.747, 0.000], [0.833, 0.583, 0.166], [0.167, 0.417, 0.834], [0.863, 0.086, 0.172], [0.137, 0.914, 0.828], [0.631, 0.651, 0.732], [0.631, 0.081, 0.732], [0.369, 0.919, 0.268], [0.369, 0.349, 0.268]],
  "sg": "No. 12",
  "formation_energy_uncorrected_mev_per_atom": -1188
}


Entry 2:
{
  "formula": "Sr2Ag2Hg",
  "functional": "GGA-PBE",
  "state": "relaxed",
  "lattice": [[-1.068, 3.143, -7.601], [-0.916, -7.663, -3.039], [-4.254, 0.233, 0.694]],
  "species": ["Sr", "Sr", "Sr", "Sr", "Hg", "Hg", "Ag", "Ag", "Ag", "Ag"],
  "frac_coords": [[0.179, 0.679, 0.500], [0.679, 0.821, 0.500], [0.821, 0.321, 0.500], [0.321, 0.179, 0.500], [0.000, 0.000, 0.000], [0.500, 0.500, 0.000], [0.380, 0.880, 0.000], [0.880, 0.620, 0.000], [0.620, 0.120, 0.000], [0.120, 0.380, 0.000]],
  "sg": "No. 127",
  "formation_energy_ev_per_atom": -0.3365
}